# 1
This record from the Alexandria database describes AlCo4Mo after structural relaxation. The functional is PBE.

Results
Formation enthalpy at 0 K: -68 meV/atom

The structure in CIF format:
```
data_AlCo4Mo
_chemical_formula_sum 'Al4 Co16 Mo4'
_cell_length_a 6.581
_cell_length_b 6.581
_cell_length_c 6.581
_cell_angle_alpha 90.00
_cell_angle_beta 90.00
_cell_angle_gamma 90.00
_symmetry_space_group_name_H-M 'F -4 3 m'
_symmetry_Int_Tables_number 216
_symmetry_space_group_name_Hall 'F -4 2 3'
loop_
_atom_site_label
_atom_site_type_symbol
_atom_site_fract_x
_atom_site_fract_y
_atom_site_fract_z
Al1 Al 0.000 0.000 0.000
Co1 Co 0.126 0.126 0.374
Mo1 Mo 0.250 0.250 0.750
```

# 2
This record from the Alexandria database describes RbTaOs3 after structural relaxation. The functional is PBE.

Results
Formation enthalpy at 0 K: 2092 meV/atom

The structure in CIF format:
```
data_RbTaOs3
_chemical_formula_sum 'Rb1 Ta1 Os3'
_cell_length_a 4.937
_cell_length_b 4.937
_cell_length_c 4.937
_cell_angle_alpha 90.00
_cell_angle_beta 90.00
_cell_angle_gamma 90.00
_symmetry_space_group_name_H-M 'P m -3 m'
_symmetry_Int_Tables_number 221
_symmetry_space_group_name_Hall '-P 4 2 3'
loop_
_atom_site_label
_atom_site_type_symbol
_atom_site_fract_x
_atom_site_fract_y
_atom_site_fract_z
Rb1 Rb 0.000 0.000 0.000
Ta1 Ta 0.500 0.500 0.500
Os1 Os 0.000 0.500 0.500
```

# 3
This record from the Alexandria database describes ThU2S3 after structural relaxation. The functional is PBE.

Results
ΔE_f (raw): -1.51 eV per atom

The structure in CIF format:
```
data_ThU2S3
_chemical_formula_sum 'Th2 U4 S6'
_cell_length_a 3.886
_cell_length_b 5.575
_cell_length_c 11.916
_cell_angle_alpha 90.00
_cell_angle_beta 90.00
_cell_angle_gamma 90.00
_symmetry_space_group_name_H-M 'I m m m'
_symmetry_Int_Tables_number 71
_symmetry_space_group_name_Hall '-I 2 2'
loop_
_atom_site_label
_atom_site_type_symbol
_atom_site_fract_x
_atom_site_fract_y
_atom_site_fract_z
Th1 Th 0.000 0.000 0.000
U1 U 0.000 0.000 0.336
S1 S 0.000 0.500 0.000
S2 S 0.000 0.500 0.326
```

# 4
This record from the Alexandria database describes AcLa12Sn3 after structural relaxation. The functional is PBE.

Results
Formation enthalpy at 0 K: -353 meV/atom

The structure in CIF format:
```
data_AcLa12Sn3
_chemical_formula_sum 'Ac1 La12 Sn3'
_cell_length_a 5.089
_cell_length_b 5.089
_cell_length_c 20.619
_cell_angle_alpha 90.00
_cell_angle_beta 90.00
_cell_angle_gamma 90.00
_symmetry_space_group_name_H-M 'P 4/m m m'
_symmetry_Int_Tables_number 123
_symmetry_space_group_name_Hall '-P 4 2'
loop_
_atom_site_label
_atom_site_type_symbol
_atom_site_fract_x
_atom_site_fract_y
_atom_site_fract_z
Ac1 Ac 0.000 0.000 0.000
La1 La 0.000 0.500 0.136
La2 La 0.000 0.500 0.380
La3 La 0.500 0.500 0.000
La4 La 0.500 0.500 0.260
La5 La 0.500 0.500 0.500
Sn1 Sn 0.000 0.000 0.257
Sn2 Sn 0.000 0.000 0.500
```

# 5
This record from the Alexandria database describes TlCoSe2 after structural relaxation. The functional is PBE.

Results
ΔE_f (raw): 0.51 eV per atom

The structure in CIF format:
```
data_TlCoSe2
_chemical_formula_sum 'Tl1 Co1 Se2'
_cell_length_a 5.065
_cell_length_b 5.065
_cell_length_c 3.327
_cell_angle_alpha 90.00
_cell_angle_beta 90.00
_cell_angle_gamma 90.00
_symmetry_space_group_name_H-M 'P 4/m m m'
_symmetry_Int_Tables_number 123
_symmetry_space_group_name_Hall '-P 4 2'
loop_
_atom_site_label
_atom_site_type_symbol
_atom_site_fract_x
_atom_site_fract_y
_atom_site_fract_z
Tl1 Tl 0.000 0.000 0.000
Co1 Co 0.500 0.500 0.000
Se1 Se 0.000 0.500 0.500
```

# 6
This record from the Alexandria database describes CaCoMo2 after structural relaxation. The functional is PBE.

Results
Formation enthalpy at 0 K: 424 meV/atom

The structure in CIF format:
```
data_CaCoMo2
_chemical_formula_sum 'Ca1 Co1 Mo2'
_cell_length_a 3.195
_cell_length_b 3.195
_cell_length_c 7.072
_cell_angle_alpha 90.00
_cell_angle_beta 90.00
_cell_angle_gamma 90.00
_symmetry_space_group_name_H-M 'P 4 m m'
_symmetry_Int_Tables_number 99
_symmetry_space_group_name_Hall 'P 4 -2'
loop_
_atom_site_label
_atom_site_type_symbol
_atom_site_fract_x
_atom_site_fract_y
_atom_site_fract_z
Ca1 Ca 0.000 0.000 0.000
Co1 Co 0.500 0.500 0.294
Mo1 Mo 0.000 0.000 0.480
Mo2 Mo 0.500 0.500 0.674
```

So what do the calculations give for V? Going down the list: 285 120 258 534 85 72 Å³ per cell.
So what do the calculations give for magnetization? Going down the list: 0.2 3.4 4.9 0.0 2.3 1.1 μB per formula unit.